First-principles (GGA-PBE) data for an optimized crystal structure of SrCaAsI, as listed in the Alexandria database.

Properties
V ... 34.90 Å³/atom
Size of the total moment ... 0.0 Bohr magnetons per cell
Final energy ... -3.8474 eV per atom

a = 4.474 Å, b = 4.474 Å, c = 8.454 Å
α = 105.28°, β = 105.28°, γ = 60.01°
Sites, in units of the cell vectors:
1 Sr 0.000 0.000 0.000
2 Ca 0.206 0.206 0.617
3 As 0.598 0.598 0.792
4 I 0.432 0.432 0.296